1.
## LiUNi2O6 (PBE with a Hubbard U)

Data for an optimized crystal structure of LiUNi2O6.

DOS(E_F): 4.962 states/eV per cell
V: 113 Å³/cell

Cell: 5.6423 5.6423 5.6423 Å, 55.24 55.24 55.24°
With the nearest neighbours (Å) after each atom.
Sites, in units of the cell vectors:
1 Li 0.4916 0.4916 0.4916  6 O 2.10-2.28
2 U 0.0026 0.0026 0.0026  6 O 2.09
3 Ni 0.2021 0.2021 0.2021  6 O 2.01-2.15
4 Ni 0.6944 0.6944 0.6944  6 O 2.03-2.07
5 O 0.4102 0.0775 0.8100  2 Ni 2.03-2.15, 1 U 2.09, 1 Li 2.10
6 O 0.0775 0.8100 0.4102  2 Ni 2.03-2.15, 1 U 2.09, 1 Li 2.10
7 O 0.9213 0.3026 0.5883  2 Ni 2.01-2.07, 1 U 2.09
8 O 0.5883 0.9213 0.3026  2 Ni 2.01-2.07, 1 U 2.09
9 O 0.8100 0.4102 0.0775  2 Ni 2.03-2.15, 1 U 2.09, 1 Li 2.10
10 O 0.3026 0.5883 0.9213  2 Ni 2.01-2.07, 1 U 2.09

---

2.
## Li2V5NiO12 (PBE with a Hubbard U)

Data for an optimized crystal structure of Li2V5NiO12.

V: 242 Å³/cell

Cell: 6.9110 6.9110 5.6526 Å, 72.45 72.45 75.97°
With the nearest neighbours (Å) after each atom.
Sites, in units of the cell vectors:
1 Li 0.7180 0.2820 0.0000  6 O 2.22-2.43
2 Li 0.2778 0.7222 0.5000  4 O 2.00-2.07
3 V 0.9159 0.0841 0.5000  4 O 1.84-2.03
4 V 0.8382 0.6212 0.4477  4 O 1.88-2.04
5 V 0.6210 0.8114 0.9847  4 O 1.73-1.78
6 V 0.3788 0.1618 0.5523  4 O 1.88-2.04
7 V 0.1886 0.3790 0.0153  4 O 1.73-1.78
8 Ni 0.0854 0.9146 0.0000  6 O 2.06-2.15
9 O 0.0125 0.8142 0.3931  2 V 1.91-2.03, 1 Li 2.00, 1 Ni 2.06
10 O 0.9107 0.3344 0.5555  2 V 1.84-1.88
11 O 0.7990 0.9838 0.8928  1 V 1.78
12 O 0.5872 0.7010 0.3150  1 V 1.76
13 O 0.6656 0.0893 0.4445  2 V 1.84-1.88
14 O 0.6916 0.6204 0.8202  1 V 1.73
15 O 0.2990 0.4128 0.6850  1 V 1.76
16 O 0.3880 0.9588 0.9350  1 V 1.74
17 O 0.3796 0.3084 0.1798  1 V 1.73
18 O 0.1858 0.9875 0.6069  2 V 1.91-2.03, 1 Li 2.00, 1 Ni 2.06
19 O 0.0412 0.6120 0.0650  1 V 1.74
20 O 0.0162 0.2010 0.1072  1 V 1.78

---

3.
## Li2VNiO4 (PBE with a Hubbard U)

Data for an optimized crystal structure of Li2VNiO4.

DOS(E_F): 0.000 states/eV per cell
V: 146 Å³/cell

Cell: 5.8959 5.8966 5.8959 Å, 60.70 88.81 119.32°
With the nearest neighbours (Å) after each atom.
Sites, in units of the cell vectors:
1 Li 0.0000 0.0000 0.5000  6 O 2.05-2.14
2 Li 0.5000 0.5000 0.5000  6 O 2.05-2.14
3 Li 0.5000 0.5000 0.0000  6 O 2.19-2.23
4 Li 0.5000 0.0000 0.5000  6 O 2.19-2.23
5 V 0.0000 0.0000 0.0000  6 O 1.90-2.03
6 V 0.0000 0.5000 0.5000  6 O 1.90-2.03
7 Ni 0.0000 0.5000 0.0000  6 O 2.08
8 Ni 0.5000 0.0000 0.0000  6 O 2.08
9 O 0.2302 0.9931 0.7766  1 V 1.90, 2 Ni 2.08
10 O 0.2303 0.5069 0.2629  1 V 1.90, 2 Ni 2.08
11 O 0.7697 0.4931 0.7371  1 V 1.90, 2 Ni 2.08
12 O 0.7698 0.0069 0.2234  1 V 1.90, 2 Ni 2.08
13 O 0.2291 0.9807 0.2517  2 V 2.03, 3 Li 2.05-2.19, 1 Ni 2.08
14 O 0.7675 0.5192 0.2517  2 V 2.03, 3 Li 2.05-2.19, 1 Ni 2.08
15 O 0.2325 0.4808 0.7483  2 V 2.03, 3 Li 2.05-2.19, 1 Ni 2.08
16 O 0.7709 0.0193 0.7483  2 V 2.03, 3 Li 2.05-2.19, 1 Ni 2.08

---

4.
## Li3V4NiO12 (PBE with a Hubbard U)

Data for an optimized crystal structure of Li3V4NiO12.

V: 199 Å³/cell

Cell: 5.3525 10.8078 9.5788 Å, 27.60 50.79 56.08°
With the nearest neighbours (Å) after each atom.
Sites, in units of the cell vectors:
1 Li 0.2832 0.5040 0.2815  6 O 2.04-2.20
2 Li 0.7927 0.9967 0.7799  5 O 2.05-2.19
3 Li 0.7749 0.4926 0.7967  4 O 1.97-2.17
4 V 0.0161 0.0006 0.0011  3 O 1.74-1.75
5 V 0.9774 0.4874 0.0258  3 O 1.74-1.92
6 V 0.4815 0.0012 0.5150  3 O 1.74-1.84
7 V 0.5060 0.5034 0.5019  3 O 1.74-1.76
8 Ni 0.2932 0.0027 0.2932  6 O 2.04-2.11
9 O 0.3631 0.2965 0.1199  2 V 1.91-2.07, 1 Li 1.97, 1 Ni 2.04
10 O 0.2249 0.1196 0.6169  1 V 1.74
11 O 0.1142 0.3106 0.7278  1 V 1.74
12 O 0.8575 0.1869 0.2295  1 V 1.84
13 O 0.3539 0.8092 0.1096  1 V 1.74
14 O 0.7214 0.3834 0.3541  1 V 1.74
15 O 0.2344 0.6305 0.5946  1 V 1.76
16 O 0.6011 0.1902 0.8547  1 V 1.76
17 O 0.1339 0.8216 0.7094  2 V 1.92-1.99, 1 Ni 2.05, 1 Li 2.05
18 O 0.8497 0.6921 0.2271  1 V 1.74
19 O 0.7381 0.8735 0.3464  1 V 1.75
20 O 0.6124 0.6969 0.8445  1 V 1.76

---

5.
## LiV2NiO6 (PBE with a Hubbard U)

Data for an optimized crystal structure of LiV2NiO6.

V: 285 Å³/cell

Cell: 5.7955 7.6681 7.6681 Å, 79.35 66.15 66.15°
With the nearest neighbours (Å) after each atom.
Sites, in units of the cell vectors:
1 Li 0.2500 0.1771 0.8229  4 O 2.03
2 Li 0.7500 0.8229 0.1771  4 O 2.03
3 V 0.3183 0.8011 0.6105  4 O 1.70-1.81
4 V 0.1817 0.3895 0.1989  4 O 1.70-1.81
5 V 0.6817 0.1989 0.3895  4 O 1.70-1.81
6 V 0.8183 0.6105 0.8011  4 O 1.70-1.81
7 Ni 0.2500 0.8137 0.1863  4 O 2.00-2.02
8 Ni 0.7500 0.1863 0.8137  4 O 2.00-2.02
9 O 0.1298 0.9965 0.7496  1 V 1.70
10 O 0.3702 0.2504 0.0035  1 V 1.70
11 O 0.8702 0.0035 0.2504  1 V 1.70
12 O 0.6298 0.7496 0.9965  1 V 1.70
13 O 0.3736 0.8637 0.3766  1 V 1.70
14 O 0.1264 0.6234 0.1363  1 V 1.70
15 O 0.6264 0.1363 0.6234  1 V 1.70
16 O 0.8736 0.3766 0.8637  1 V 1.70
17 O 0.1401 0.6379 0.6824  2 V 1.80-1.81
18 O 0.3599 0.3176 0.3621  2 V 1.80-1.81
19 O 0.8599 0.3621 0.3176  2 V 1.80-1.81
20 O 0.6401 0.6824 0.6379  2 V 1.80-1.81

---

6.
## Li2VNiO4 (PBE with a Hubbard U)

Data for an optimized crystal structure of Li2VNiO4.

DOS(E_F): 0.000 states/eV per cell
V: 73 Å³/cell

Cell: 2.9857 5.0713 5.1037 Å, 71.35 90.00 90.00°
With the nearest neighbours (Å) after each atom.
Sites, in units of the cell vectors:
1 Li 0.0000 0.0000 0.0000  6 O 2.18-2.23
2 Li 0.5000 0.5000 0.0000  6 O 2.06-2.14
3 V 0.0000 0.5000 0.5000  6 O 1.90-2.03
4 Ni 0.5000 0.0000 0.5000  6 O 2.08
5 O 0.0000 0.7364 0.7231  1 V 1.90, 2 Ni 2.08
6 O 0.5000 0.2701 0.7325  2 V 2.03, 3 Li 2.06-2.18, 1 Ni 2.08
7 O 0.0000 0.2636 0.2769  1 V 1.90, 2 Ni 2.08
8 O 0.5000 0.7299 0.2675  2 V 2.03, 3 Li 2.06-2.18, 1 Ni 2.08

---

7.
## Li3V2Ni2O8 (PBE with a Hubbard U)

Data for an optimized crystal structure of Li3V2Ni2O8.

V: 147 Å³/cell

Cell: 5.9256 5.9256 5.8851 Å, 60.29 60.29 60.39°
With the nearest neighbours (Å) after each atom.
Sites, in units of the cell vectors:
1 Li 0.0000 0.5000 0.5000  6 O 2.10-2.14
2 Li 0.5000 0.5000 0.5000  6 O 2.17-2.30
3 Li 0.5000 0.0000 0.5000  6 O 2.10-2.14
4 V 0.0000 0.0000 0.0000  6 O 1.90-2.03
5 V 0.0000 0.0000 0.5000  6 O 1.87-1.92
6 Ni 0.5000 0.0000 0.0000  6 O 2.07-2.11
7 Ni 0.0000 0.5000 0.0000  6 O 2.07-2.11
8 O 0.7741 0.7741 0.2188  1 V 1.90, 2 Ni 2.07
9 O 0.2227 0.2227 0.2701  1 V 1.87, 2 Ni 2.08
10 O 0.7772 0.2211 0.2634  2 V 1.92-2.03, 1 Li 2.10, 1 Ni 2.11
11 O 0.2211 0.7772 0.2634  2 V 1.92-2.03, 1 Li 2.10, 1 Ni 2.11
12 O 0.7789 0.2228 0.7366  2 V 1.92-2.03, 1 Li 2.10, 1 Ni 2.11
13 O 0.2228 0.7789 0.7366  2 V 1.92-2.03, 1 Li 2.10, 1 Ni 2.11
14 O 0.7773 0.7773 0.7299  1 V 1.87, 2 Ni 2.08
15 O 0.2259 0.2259 0.7812  1 V 1.90, 2 Ni 2.07

---

8.
## Li4V3NiO8 (PBE with a Hubbard U)

Data for an optimized crystal structure of Li4V3NiO8.

DOS(E_F): 3.321 states/eV per cell
V: 148 Å³/cell

Cell: 5.9671 5.9671 5.9671 Å, 59.36 59.36 59.36°
With the nearest neighbours (Å) after each atom.
Sites, in units of the cell vectors:
1 Li 0.5000 0.5000 0.5000  6 O 2.12
2 Li 0.5000 0.0000 0.0000  6 O 2.15-2.18
3 Li 0.0000 0.0000 0.5000  6 O 2.15-2.18
4 Li 0.0000 0.5000 0.0000  6 O 2.15-2.18
5 V 0.0000 0.5000 0.5000  6 O 2.02-2.05
6 V 0.5000 0.5000 0.0000  6 O 2.02-2.05
7 V 0.5000 0.0000 0.5000  6 O 2.02-2.05
8 Ni 0.0000 0.0000 0.0000  6 O 2.09
9 O 0.7446 0.7446 0.7446  3 V 2.05, 3 Li 2.15
10 O 0.7326 0.2482 0.2482  2 V 2.02, 1 Ni 2.09, 3 Li 2.12-2.18
11 O 0.2482 0.2482 0.7326  2 V 2.02, 1 Ni 2.09, 3 Li 2.12-2.18
12 O 0.2554 0.2554 0.2554  3 V 2.05, 3 Li 2.15
13 O 0.2482 0.7326 0.2482  2 V 2.02, 1 Ni 2.09, 3 Li 2.12-2.18
14 O 0.2674 0.7518 0.7518  2 V 2.02, 1 Ni 2.09, 3 Li 2.12-2.18
15 O 0.7518 0.7518 0.2674  2 V 2.02, 1 Ni 2.09, 3 Li 2.12-2.18
16 O 0.7518 0.2674 0.7518  2 V 2.02, 1 Ni 2.09, 3 Li 2.12-2.18

---

Looking at total DFT energy (no corrections) for the records above, in order, we have -66.94; -140.98; -96.87; -134.89; -132.07; -48.44; -91.73; -103.53 eV for the cell shown.